No. 1
# AlCdW2 | Alexandria via LeMat-Bulk | GGA-PBEsol | relaxed
# E_form   0.279 eV per atom
# Relative energy among the computed polymorphs   0 meV per atom
# VASP energy   -31.79 eV per cell
# DOS(E_F)   0.711 states/eV per atom
data_AlCdW2
_cell_length_a 3.2629
_cell_length_b 3.2629
_cell_length_c 6.2197
_cell_angle_alpha 90.00
_cell_angle_beta 90.00
_cell_angle_gamma 90.00
_symmetry_space_group_name_H-M 'P 4 m m'
_symmetry_Int_Tables_number 99
_symmetry_space_group_name_Hall 'P 4 -2'
loop_
_atom_site_label
_atom_site_fract_x
_atom_site_fract_y
_atom_site_fract_z
Al1 0.0000 0.0000 0.0000
Cd1 0.5000 0.5000 0.2555
W1 0.0000 0.0000 0.5505
W2 0.5000 0.5000 0.7545

No. 2
# HfTe2Rh | Alexandria via LeMat-Bulk | GGA-PBEsol | relaxed
# VASP energy   -107.07 eV per cell
# DOS(E_F)   0.617 states/eV per atom
data_HfTe2Rh
_cell_length_a 6.8344
_cell_length_b 6.8344
_cell_length_c 6.8344
_cell_angle_alpha 90.00
_cell_angle_beta 90.00
_cell_angle_gamma 90.00
_symmetry_space_group_name_H-M 'F m -3 m'
_symmetry_Int_Tables_number 225
_symmetry_space_group_name_Hall '-F 4 2 3'
loop_
_atom_site_label
_atom_site_fract_x
_atom_site_fract_y
_atom_site_fract_z
Hf1 0.0000 0.0000 0.0000
Te1 0.2500 0.2500 0.2500
Rh1 0.0000 0.0000 0.5000

No. 3
# SrLi2P | Alexandria via LeMat-Bulk | GGA-PBEsol | relaxed
# E_form   -0.556 eV per atom
# VASP energy   -41.37 eV per cell
# DOS(E_F)   0.410 states/eV per atom
data_SrLi2P
_cell_length_a 4.1812
_cell_length_b 4.1812
_cell_length_c 16.1293
_cell_angle_alpha 90.00
_cell_angle_beta 90.00
_cell_angle_gamma 120.00
_symmetry_space_group_name_H-M 'R -3 m'
_symmetry_Int_Tables_number 166
_symmetry_space_group_name_Hall '-R 3 2"'
loop_
_atom_site_label
_atom_site_fract_x
_atom_site_fract_y
_atom_site_fract_z
Sr1 0.0000 0.0000 0.0000
Li1 0.0000 0.0000 0.1971
P1 0.0000 0.0000 0.5000

No. 4
# LaTl2Ag | Alexandria via LeMat-Bulk | GGA-PBEsol | relaxed
# E_form   -0.263 eV per atom
# VASP energy   -59.87 eV per cell
# DOS(E_F)   0.474 states/eV per atom
data_LaTl2Ag
_cell_length_a 7.3747
_cell_length_b 7.3747
_cell_length_c 7.3747
_cell_angle_alpha 90.00
_cell_angle_beta 90.00
_cell_angle_gamma 90.00
_symmetry_space_group_name_H-M 'F -4 3 m'
_symmetry_Int_Tables_number 216
_symmetry_space_group_name_Hall 'F -4 2 3'
loop_
_atom_site_label
_atom_site_fract_x
_atom_site_fract_y
_atom_site_fract_z
La1 0.0000 0.0000 0.0000
Tl1 0.0000 0.0000 0.5000
Tl2 0.2500 0.2500 0.7500
Ag1 0.2500 0.2500 0.2500

No. 5
# CaRh | Alexandria via LeMat-Bulk | GGA-PBEsol | relaxed
# E_form   -0.165 eV per atom
# VASP energy   -42.40 eV per cell
# DOS(E_F)   0.588 states/eV per atom
data_CaRh
_cell_length_a 3.1743
_cell_length_b 4.7040
_cell_length_c 10.4534
_cell_angle_alpha 90.00
_cell_angle_beta 90.00
_cell_angle_gamma 90.00
_symmetry_space_group_name_H-M 'I m m a'
_symmetry_Int_Tables_number 74
_symmetry_space_group_name_Hall '-I 2b 2'
loop_
_atom_site_label
_atom_site_fract_x
_atom_site_fract_y
_atom_site_fract_z
Ca1 0.0000 0.2500 0.1078
Rh1 0.0000 0.2500 0.6506

No. 6
# Ho6Fe23 | Alexandria via LeMat-Bulk | GGA-PBEsol | relaxed
# E_form   -0.039 eV per atom
# VASP energy   -948.03 eV per cell
# DOS(E_F)   1.098 states/eV per atom
data_Ho6Fe23
_cell_length_a 11.6601
_cell_length_b 11.6601
_cell_length_c 11.6601
_cell_angle_alpha 90.00
_cell_angle_beta 90.00
_cell_angle_gamma 90.00
_symmetry_space_group_name_H-M 'F m -3 m'
_symmetry_Int_Tables_number 225
_symmetry_space_group_name_Hall '-F 4 2 3'
loop_
_atom_site_label
_atom_site_fract_x
_atom_site_fract_y
_atom_site_fract_z
Ho1 0.0000 0.0000 0.2086
Fe1 0.0000 0.0000 0.5000
Fe2 0.0000 0.2500 0.2500
Fe3 0.1221 0.1221 0.3779
Fe4 0.1749 0.1749 0.1749

No. 7
# Cu2TeSe | Alexandria via LeMat-Bulk | GGA-PBEsol | relaxed
# Relative energy among the computed polymorphs   21 meV per atom
# VASP energy   -32.28 eV per cell
# DOS(E_F)   0.402 states/eV per atom
data_Cu2TeSe
_cell_length_a 7.5554
_cell_length_b 3.5975
_cell_length_c 5.8050
_cell_angle_alpha 90.00
_cell_angle_beta 109.84
_cell_angle_gamma 90.00
_symmetry_space_group_name_H-M 'C 1 m 1'
_symmetry_Int_Tables_number 8
_symmetry_space_group_name_Hall 'C -2y'
loop_
_atom_site_label
_atom_site_fract_x
_atom_site_fract_y
_atom_site_fract_z
Cu1 0.0000 0.0000 0.0000
Cu2 0.2422 0.0000 0.8213
Te1 0.2679 0.5000 0.2229
Se1 0.4826 0.0000 0.6474

No. 8
# LiNiTe2 | Alexandria via LeMat-Bulk | GGA-PBEsol | relaxed
# VASP energy   -31.55 eV per cell
# DOS(E_F)   0.481 states/eV per atom
data_LiNiTe2
_cell_length_a 3.7834
_cell_length_b 5.9044
_cell_length_c 7.6362
_cell_angle_alpha 90.00
_cell_angle_beta 90.00
_cell_angle_gamma 90.00
_symmetry_space_group_name_H-M 'C m m m'
_symmetry_Int_Tables_number 65
_symmetry_space_group_name_Hall '-C 2 2'
loop_
_atom_site_label
_atom_site_fract_x
_atom_site_fract_y
_atom_site_fract_z
Li1 0.0000 0.0000 0.0000
Ni1 0.0000 0.0000 0.5000
Te1 0.0000 0.5000 0.2820

No. 9
# Sc2CoSi2 | Alexandria via LeMat-Bulk | GGA-PBEsol | relaxed
# VASP energy   -73.05 eV per cell
# DOS(E_F)   0.783 states/eV per atom
data_Sc2CoSi2
_cell_length_a 6.0887
_cell_length_b 6.0887
_cell_length_c 4.1623
_cell_angle_alpha 90.00
_cell_angle_beta 90.00
_cell_angle_gamma 90.00
_symmetry_space_group_name_H-M 'P 4/m b m'
_symmetry_Int_Tables_number 127
_symmetry_space_group_name_Hall '-P 4 2ab'
loop_
_atom_site_label
_atom_site_fract_x
_atom_site_fract_y
_atom_site_fract_z
Sc1 0.1717 0.3283 0.0000
Co1 0.0000 0.0000 0.5000
Si1 0.1403 0.6403 0.5000

No. 10
# BeIn2Hg | Alexandria via LeMat-Bulk | GGA-PBEsol | relaxed
# E_form   0.231 eV per atom
# VASP energy   -19.22 eV per cell
# DOS(E_F)   0.304 states/eV per atom
data_BeIn2Hg
_cell_length_a 8.7627
_cell_length_b 3.1951
_cell_length_c 6.4237
_cell_angle_alpha 90.00
_cell_angle_beta 110.55
_cell_angle_gamma 90.00
_symmetry_space_group_name_H-M 'C 1 m 1'
_symmetry_Int_Tables_number 8
_symmetry_space_group_name_Hall 'C -2y'
loop_
_atom_site_label
_atom_site_fract_x
_atom_site_fract_y
_atom_site_fract_z
Be1 0.0000 0.0000 0.0000
In1 0.0553 0.5000 0.3567
In2 0.2146 0.5000 0.9660
Hg1 0.3587 0.0000 0.6352

No. 11
# CdIrCl | Alexandria via LeMat-Bulk | GGA-PBEsol | relaxed
# VASP energy   -11.86 eV per cell
# DOS(E_F)   1.321 states/eV per atom
data_CdIrCl
_cell_length_a 3.0713
_cell_length_b 3.0713
_cell_length_c 6.2524
_cell_angle_alpha 90.00
_cell_angle_beta 90.00
_cell_angle_gamma 120.00
_symmetry_space_group_name_H-M 'P 3 m 1'
_symmetry_Int_Tables_number 156
_symmetry_space_group_name_Hall 'P 3 -2"'
loop_
_atom_site_label
_atom_site_fract_x
_atom_site_fract_y
_atom_site_fract_z
Cd1 0.0000 0.0000 0.0000
Ir1 0.6667 0.3333 0.3338
Cl1 0.3333 0.6667 0.6506

No. 12
# SrMn2CoPt | Alexandria via LeMat-Bulk | GGA-PBEsol | relaxed
# E_form   2.453 eV per atom
# VASP energy   -23.80 eV per cell
# DOS(E_F)   1.228 states/eV per atom
data_SrMn2CoPt
_cell_length_a 4.7424
_cell_length_b 4.7424
_cell_length_c 4.9901
_cell_angle_alpha 90.00
_cell_angle_beta 90.00
_cell_angle_gamma 90.00
_symmetry_space_group_name_H-M 'P 4/m m m'
_symmetry_Int_Tables_number 123
_symmetry_space_group_name_Hall '-P 4 2'
loop_
_atom_site_label
_atom_site_fract_x
_atom_site_fract_y
_atom_site_fract_z
Sr1 0.0000 0.0000 0.0000
Mn1 0.0000 0.5000 0.0000
Co1 0.5000 0.5000 0.5000
Pt1 0.0000 0.0000 0.5000

No. 13
# LiTl2Ag | Alexandria via LeMat-Bulk | GGA-PBEsol | relaxed
# E_form   -0.069 eV per atom
# Relative energy among the computed polymorphs   23 meV per atom
# VASP energy   -10.82 eV per cell
# DOS(E_F)   0.412 states/eV per atom
data_LiTl2Ag
_cell_length_a 4.5598
_cell_length_b 4.5598
_cell_length_c 4.0551
_cell_angle_alpha 90.00
_cell_angle_beta 90.00
_cell_angle_gamma 90.00
_symmetry_space_group_name_H-M 'P 4/m m m'
_symmetry_Int_Tables_number 123
_symmetry_space_group_name_Hall '-P 4 2'
loop_
_atom_site_label
_atom_site_fract_x
_atom_site_fract_y
_atom_site_fract_z
Li1 0.0000 0.0000 0.0000
Tl1 0.0000 0.5000 0.5000
Ag1 0.5000 0.5000 0.0000

No. 14
# CuBi2O4 | Alexandria via LeMat-Bulk | GGA-PBEsol | relaxed
# Relative energy among the computed polymorphs   0 meV per atom
# VASP energy   -165.30 eV per cell
# DOS(E_F)   0.225 states/eV per atom
data_CuBi2O4
_cell_length_a 8.3278
_cell_length_b 8.3278
_cell_length_c 5.9017
_cell_angle_alpha 90.00
_cell_angle_beta 90.00
_cell_angle_gamma 90.00
_symmetry_space_group_name_H-M 'P 4/n c c'
_symmetry_Int_Tables_number 130
loop_
_symmetry_equiv_pos_as_xyz
'x,y,z'
'-x,-y,-z'
'-y+1/2,x,z'
'y+1/2,-x,-z'
'-x+1/2,-y+1/2,z'
'x+1/2,y+1/2,-z'
'y,-x+1/2,z'
'-y,x+1/2,-z'
'x+1/2,-y,-z+1/2'
'-x+1/2,y,z+1/2'
'-y,-x,-z+1/2'
'y,x,z+1/2'
'-x,y+1/2,-z+1/2'
'x,-y+1/2,z+1/2'
'y+1/2,x+1/2,-z+1/2'
'-y+1/2,-x+1/2,z+1/2'
loop_
_atom_site_label
_atom_site_fract_x
_atom_site_fract_y
_atom_site_fract_z
Cu1 0.2500 0.2500 0.0762
Bi1 0.0844 0.5844 0.2500
O1 0.0412 0.1516 0.5918

No. 15
# LiZr2Ga2 | Alexandria via LeMat-Bulk | GGA-PBEsol | relaxed
# E_form   -0.430 eV per atom
# VASP energy   -57.95 eV per cell
# DOS(E_F)   0.767 states/eV per atom
data_LiZr2Ga2
_cell_length_a 6.8015
_cell_length_b 6.8015
_cell_length_c 3.9495
_cell_angle_alpha 90.00
_cell_angle_beta 90.00
_cell_angle_gamma 90.00
_symmetry_space_group_name_H-M 'P 4/m b m'
_symmetry_Int_Tables_number 127
_symmetry_space_group_name_Hall '-P 4 2ab'
loop_
_atom_site_label
_atom_site_fract_x
_atom_site_fract_y
_atom_site_fract_z
Li1 0.0000 0.0000 0.0000
Zr1 0.1732 0.3268 0.5000
Ga1 0.1306 0.6306 0.0000

No. 16
# MgTcRu2 | Alexandria via LeMat-Bulk | GGA-PBEsol | relaxed
# E_form   0.262 eV per atom
# VASP energy   -64.56 eV per cell
# DOS(E_F)   1.076 states/eV per atom
data_MgTcRu2
_cell_length_a 2.9311
_cell_length_b 4.4775
_cell_length_c 8.5815
_cell_angle_alpha 90.00
_cell_angle_beta 90.00
_cell_angle_gamma 90.00
_symmetry_space_group_name_H-M 'I m m m'
_symmetry_Int_Tables_number 71
_symmetry_space_group_name_Hall '-I 2 2'
loop_
_atom_site_label
_atom_site_fract_x
_atom_site_fract_y
_atom_site_fract_z
Mg1 0.0000 0.0000 0.0000
Tc1 0.0000 0.0000 0.5000
Ru1 0.0000 0.5000 0.2454

No. 17
# ScGaNi3 | Alexandria via LeMat-Bulk | GGA-PBEsol | relaxed
# E_form   0.983 eV per atom
# VASP energy   -23.50 eV per cell
# DOS(E_F)   0.535 states/eV per atom
data_ScGaNi3
_cell_length_a 4.3410
_cell_length_b 4.3410
_cell_length_c 4.3410
_cell_angle_alpha 90.00
_cell_angle_beta 90.00
_cell_angle_gamma 90.00
_symmetry_space_group_name_H-M 'P m -3 m'
_symmetry_Int_Tables_number 221
_symmetry_space_group_name_Hall '-P 4 2 3'
loop_
_atom_site_label
_atom_site_fract_x
_atom_site_fract_y
_atom_site_fract_z
Sc1 0.0000 0.0000 0.0000
Ga1 0.5000 0.5000 0.5000
Ni1 0.0000 0.0000 0.5000

No. 18
# BaSb2PbI | Alexandria via LeMat-Bulk | GGA-PBEsol | relaxed
# VASP energy   -14.48 eV per cell
# DOS(E_F)   1.325 states/eV per atom
data_BaSb2PbI
_cell_length_a 6.1214
_cell_length_b 6.1214
_cell_length_c 6.2321
_cell_angle_alpha 90.00
_cell_angle_beta 90.00
_cell_angle_gamma 90.00
_symmetry_space_group_name_H-M 'P 4/m m m'
_symmetry_Int_Tables_number 123
_symmetry_space_group_name_Hall '-P 4 2'
loop_
_atom_site_label
_atom_site_fract_x
_atom_site_fract_y
_atom_site_fract_z
Ba1 0.0000 0.0000 0.0000
Sb1 0.0000 0.5000 0.0000
Pb1 0.5000 0.5000 0.5000
I1 0.0000 0.0000 0.5000

No. 19
# TcPt3Pb | Alexandria via LeMat-Bulk | GGA-PBEsol | relaxed
# E_form   1.927 eV per atom
# VASP energy   -26.52 eV per cell
# DOS(E_F)   0.564 states/eV per atom
data_TcPt3Pb
_cell_length_a 4.9349
_cell_length_b 4.9349
_cell_length_c 4.9349
_cell_angle_alpha 90.00
_cell_angle_beta 90.00
_cell_angle_gamma 90.00
_symmetry_space_group_name_H-M 'P m -3 m'
_symmetry_Int_Tables_number 221
_symmetry_space_group_name_Hall '-P 4 2 3'
loop_
_atom_site_label
_atom_site_fract_x
_atom_site_fract_y
_atom_site_fract_z
Tc1 0.0000 0.0000 0.0000
Pt1 0.0000 0.5000 0.5000
Pb1 0.5000 0.5000 0.5000

No. 20
# SiTeBr2 | Alexandria via LeMat-Bulk | GGA-PBEsol | relaxed
# Relative energy among the computed polymorphs   271 meV per atom
# VASP energy   -12.47 eV per cell
# DOS(E_F)   0.414 states/eV per atom
data_SiTeBr2
_cell_length_a 3.2755
_cell_length_b 3.2755
_cell_length_c 10.4783
_cell_angle_alpha 90.00
_cell_angle_beta 90.00
_cell_angle_gamma 90.00
_symmetry_space_group_name_H-M 'P 4/m m m'
_symmetry_Int_Tables_number 123
_symmetry_space_group_name_Hall '-P 4 2'
loop_
_atom_site_label
_atom_site_fract_x
_atom_site_fract_y
_atom_site_fract_z
Si1 0.0000 0.0000 0.0000
Te1 0.0000 0.0000 0.5000
Br1 0.5000 0.5000 0.1604